No. 1
The following is a PBE calculation of an optimized crystal structure of CaY2Cd, from Alexandria.

Results
- Uncorrected energy: -3.98 eV/atom
- DOS at the Fermi energy: 17.7 states/eV per cell

abc: 3.6804 3.6804 33.2409
angles: 90.00 90.00 120.00
Last column: nearest neighbours and their distance in Å.
Space group R3m (No. 160, hexagonal axes)
Asymmetric unit:
Ca: 0.0000 0.0000 0.0000 [3 per cell]  6 Ca 3.68, 6 Y 3.77-3.78
Y: 0.0000 0.0000 0.5726 [3 per cell]  3 Cd 3.22
Y: 0.0000 0.0000 0.7603 [3 per cell]  3 Cd 3.22
Cd: 0.0000 0.0000 0.1663 [3 per cell]  6 Y 3.22

=====

No. 2
The following is a PBE calculation of an optimized crystal structure of CaYCd14, from Alexandria.

Results
- Uncorrected energy: -1.47 eV/atom
- DOS at the Fermi energy: 5.3 states/eV per cell

abc: 6.6068 6.6068 8.5818
angles: 90.00 90.00 90.00
Last column: nearest neighbours and their distance in Å.
Space group P4/mmm (No. 123)
Asymmetric unit:
Ca: 0.0000 0.0000 0.0000 [1 per cell]  12 Cd 3.24-3.30
Y: 0.5000 0.5000 0.0000 [1 per cell]  12 Cd 3.23-3.30
Cd: 0.0000 0.0000 0.5000 [1 per cell]  12 Cd 3.12-3.30
Cd: 0.0000 0.5000 0.0000 [2 per cell]  8 Cd 3.23, 2 Ca 3.30, 2 Y 3.30
Cd: 0.0000 0.5000 0.5000 [2 per cell]  12 Cd 3.11-3.30
Cd: 0.2510 0.2510 0.2603 [8 per cell]  10 Cd 3.11-3.32, 1 Y 3.23, 1 Ca 3.24
Cd: 0.5000 0.5000 0.5000 [1 per cell]  12 Cd 3.11-3.30

=====

No. 3
The following is a PBE calculation of an optimized crystal structure of CaY3Cd, from Alexandria.

Results
- Uncorrected energy: -3.55 eV/atom
- E above lowest polymorph: 618 meV/atom
- DOS at the Fermi energy: 4.0 states/eV per cell

abc: 5.5800 5.5800 5.5800
angles: 90.00 90.00 90.00
Last column: nearest neighbours and their distance in Å.
Space group Pm-3m (No. 221)
Asymmetric unit:
Ca: 0.0000 0.0000 0.0000 [1 per cell]  6 Y 2.79
Y: 0.0000 0.0000 0.5000 [3 per cell]  2 Ca 2.79
Cd: 0.5000 0.5000 0.5000 [1 per cell]  12 Y 3.95

=====

No. 4
The following is a PBE calculation of an optimized crystal structure of CaY5Cd6, from Alexandria.

Results
- Uncorrected energy: -3.67 eV/atom
- DOS at the Fermi energy: 20.7 states/eV per cell

abc: 5.3266 15.9949 7.4872
angles: 90.00 90.00 90.00
Last column: nearest neighbours and their distance in Å.
Space group Cmmm (No. 65)
Asymmetric unit:
Ca: 0.0000 0.0000 0.0000 [2 per cell]  8 Cd 3.28-3.29
Y: 0.0000 0.0000 0.5000 [2 per cell]  8 Cd 3.23-3.27
Y: 0.0000 0.3340 0.0000 [4 per cell]  8 Cd 3.25-3.27
Y: 0.0000 0.3342 0.5000 [4 per cell]  8 Cd 3.22-3.25
Cd: 0.0000 0.1684 0.2524 [8 per cell]  7 Y 3.23-3.27, 1 Ca 3.29
Cd: 0.0000 0.5000 0.2550 [4 per cell]  6 Y 3.22-3.27, 2 Ca 3.28

=====

No. 5
The following is a PBE calculation of an optimized crystal structure of Ca3YCd, from Alexandria.

Results
- Uncorrected energy: -1.84 eV/atom
- E above lowest polymorph: 597 meV/atom
- DOS at the Fermi energy: 4.8 states/eV per cell

abc: 6.2082 6.2082 6.2082
angles: 90.00 90.00 90.00
Last column: nearest neighbours and their distance in Å.
Space group Pm-3m (No. 221)
Asymmetric unit:
Ca: 0.0000 0.0000 0.5000 [3 per cell]  2 Y 3.10
Y: 0.0000 0.0000 0.0000 [1 per cell]  6 Ca 3.10
Cd: 0.5000 0.5000 0.5000 [1 per cell]  12 Ca 4.39

=====

No. 6
The following is a PBE calculation of an optimized crystal structure of Ca3YCd2, from Alexandria.

Results
- Uncorrected energy: -2.60 eV/atom
- DOS at the Fermi energy: 13.2 states/eV per cell

abc: 5.2796 10.0113 7.0552
angles: 90.00 90.00 90.00
Last column: nearest neighbours and their distance in Å.
Space group Pmc2_1 (No. 26)
Asymmetric unit:
Ca: 0.0000 0.0526 0.0000 [2 per cell]  3 Cd 3.30-3.38, 4 Ca 3.61-3.68
Ca: 0.0000 0.3185 0.3695 [2 per cell]  4 Cd 3.16-3.27
Ca: 0.5000 0.1873 0.7090 [2 per cell]  4 Cd 3.29-3.34, 2 Ca 3.61
Y: 0.5000 0.4526 0.0739 [2 per cell]  3 Cd 3.27-3.31, 2 Ca 3.62, 2 Y 3.65
Cd: 0.0000 0.3673 0.8281 [2 per cell]  5 Ca 3.16-3.38, 2 Y 3.27
Cd: 0.5000 0.1457 0.2468 [2 per cell]  6 Ca 3.27-3.34, 1 Y 3.31

=====

no.,V (Å³/cell),formation enthalpy at 0 K (eV per atom),total moment (μB per cell)
1,389.93,-0.018,2.16
2,374.59,-0.139,0.00
3,173.74,0.910,0.00
4,637.89,-0.357,0.00
5,239.28,0.837,3.03
6,372.91,-0.217,0.00